VASP calculation (PBE) on an optimized crystal structure of TeRuN2.

Cell and atoms, written as CIF:
```
data_TeRuN2
_chemical_formula_sum 'Te3 Ru3 N6'
_cell_length_a 3.1492
_cell_length_b 3.1492
_cell_length_c 19.4658
_cell_angle_alpha 90.00
_cell_angle_beta 90.00
_cell_angle_gamma 120.00
_space_group_name_H-M_alt 'R -3 m'
_space_group_IT_number 166
_space_group_name_Hall '-R 3 2"'
loop_
_atom_site_label
_atom_site_type_symbol
_atom_site_fract_x
_atom_site_fract_y
_atom_site_fract_z
_atom_site_occupancy
Te1 Te 0.0000 0.0000 0.0000 1
Ru1 Ru 0.0000 0.0000 0.5000 1
N1 N 0.0000 0.0000 0.1141 1
```

Values from the calculation:
Spin magnetization = 2.48 Bohr magnetons per cell
Uncorrected formation energy = 0.750 eV/atom
ρ = 7.648 g/cm3